No. 1
VASP calculation (meta-GGA SCAN) on MoPb2O5 at its PBEsol-relaxed geometry.

```
MoPb2O5
1.0
7.057 -2.890 0.000
7.057 2.890 0.000
-2.840 0.000 6.728
Mo Pb O
2 4 10
Cartesian
1.942 0.000 1.070 Mo
9.332 0.000 5.659 Mo
0.199 0.000 4.112 Pb
6.205 0.000 1.643 Pb
5.069 0.000 5.086 Pb
11.075 0.000 2.616 Pb
-1.292 0.000 6.057 O
2.949 1.482 4.840 O
5.637 1.424 3.364 O
3.693 0.000 1.291 O
8.325 1.482 1.888 O
2.949 -1.482 4.840 O
7.581 0.000 5.437 O
5.637 -1.424 3.364 O
8.325 -1.482 1.888 O
12.566 0.000 0.672 O
```

Results
Energy relative to the elements, uncorrected   -14.01 eV per formula unit
SG   C2/m, No. 12
Total magnetic moment   0.000 μB/f.u.

=====

No. 2
VASP calculation (meta-GGA SCAN) on MoPbSeO6 at its PBEsol-relaxed geometry.

```
MoPbSeO6
1.0
6.840 0.000 0.000
0.004 7.230 0.000
1.935 1.801 10.535
Mo Pb Se O
4 4 4 24
Cartesian
1.504 3.576 2.153 Mo
1.524 7.208 2.088 Mo
7.255 1.823 8.446 Mo
7.275 5.455 8.381 Mo
2.636 1.913 5.382 Pb
3.965 3.635 8.891 Pb
4.814 5.396 1.643 Pb
6.142 7.118 5.153 Pb
2.902 5.468 4.946 Se
4.126 7.253 8.241 Se
4.653 1.778 2.293 Se
5.877 3.564 5.589 Se
2.066 5.002 7.992 O
2.075 2.164 7.954 O
1.481 1.817 2.848 O
1.291 0.435 0.460 O
2.039 6.813 4.238 O
1.402 3.233 0.481 O
2.163 4.087 4.169 O
2.147 5.449 1.858 O
4.127 7.363 6.518 O
4.357 3.462 6.396 O
3.610 0.458 1.889 O
3.679 3.170 2.007 O
5.100 5.862 8.527 O
5.169 8.573 8.646 O
4.422 5.569 4.138 O
4.652 1.668 4.016 O
6.631 3.582 8.677 O
6.616 4.944 6.366 O
7.377 5.798 10.054 O
6.740 2.218 6.297 O
7.487 8.596 10.075 O
7.298 7.214 7.687 O
6.704 6.867 2.580 O
6.713 4.029 2.542 O
```

Results
Energy relative to the elements, uncorrected   -14.21 eV per formula unit
SG   P-1, No. 2
Total magnetic moment   0.000 μB/f.u.

=====

No. 3
VASP calculation (meta-GGA SCAN) on UMo4PbO16 at its PBEsol-relaxed geometry.

```
UMo4PbO16
1.0
8.485 0.000 0.000
0.000 6.722 0.000
-8.397 0.000 11.475
U Mo Pb O
2 8 2 32
Cartesian
-2.099 1.305 2.869 U
-6.297 5.418 8.606 U
-5.871 2.272 10.375 Mo
-1.673 4.450 4.638 Mo
-2.474 2.257 6.814 Mo
1.724 4.465 1.076 Mo
-1.636 2.257 10.399 Mo
2.562 4.465 4.661 Mo
1.761 2.272 6.837 Mo
5.959 4.450 1.100 Mo
2.143 1.273 2.869 Pb
-2.055 5.449 8.606 Pb
-6.297 2.992 8.606 O
-2.099 3.730 2.869 O
-4.180 2.324 6.849 O
0.018 4.398 1.111 O
-6.204 0.586 9.961 O
-2.006 6.136 4.223 O
-2.073 2.357 4.929 O
-6.271 4.365 10.666 O
-0.278 1.307 2.831 O
-4.476 5.415 8.568 O
2.139 2.420 0.681 O
-2.060 4.302 6.418 O
-2.109 0.591 7.015 O
2.090 6.131 1.277 O
-4.171 2.356 10.348 O
0.028 4.366 4.610 O
-2.055 2.837 8.606 O
2.143 3.885 2.869 O
0.060 2.356 6.864 O
4.259 4.366 1.127 O
-2.002 0.591 10.197 O
2.197 6.131 4.460 O
2.148 2.420 5.057 O
-2.051 4.302 10.794 O
4.564 1.307 2.906 O
0.366 5.415 8.644 O
6.359 2.357 0.809 O
2.161 4.365 6.546 O
2.094 0.586 7.251 O
6.292 6.136 1.514 O
0.070 2.324 10.363 O
4.268 4.398 4.626 O
```

Results
Energy relative to the elements, uncorrected   -49.46 eV per formula unit
SG   P2/c, No. 13
Total magnetic moment   0.000 μB/f.u.